Sc2InHg, optimized geometry, DFT PBE-GGA; space-group type = R3m, No. 160
1.0
1.676 0.968 9.895
-1.676 0.968 9.895
0.000 -1.936 9.895
Sc In Hg
2 1 1
Direct
0.000 0.000 0.000
0.248 0.248 0.248
0.496 0.496 0.496
0.745 0.745 0.745

Sc2InHg, optimized geometry, DFT PBE-GGA; space-group type = R3m, No. 160
1.0
1.708 0.986 9.404
-1.708 0.986 9.404
0.000 -1.972 9.404
Sc In Hg
2 1 1
Direct
0.000 0.000 0.000
0.172 0.172 0.172
0.419 0.419 0.419
0.587 0.587 0.587

Sc3In2Hg3, optimized geometry, DFT PBE-GGA; space-group type = P6_3/mcm, No. 193
1.0
8.642 0.000 0.000
-4.321 7.484 0.000
0.000 0.000 6.025
Sc In Hg
6 4 6
Direct
0.000 0.325 0.250
0.000 0.675 0.750
0.325 0.000 0.250
0.325 0.325 0.750
0.675 0.000 0.750
0.675 0.675 0.250
0.333 0.667 0.000
0.333 0.667 0.500
0.667 0.333 0.000
0.667 0.333 0.500
0.000 0.326 0.750
0.000 0.674 0.250
0.326 0.000 0.750
0.326 0.326 0.250
0.674 0.000 0.250
0.674 0.674 0.750

Sc2InHg, optimized geometry, DFT PBE-GGA; space-group type = F-43m, No. 216
1.0
0.000 3.574 3.574
3.574 0.000 3.574
3.574 3.574 0.000
Sc In Hg
2 1 1
Direct
0.000 0.000 0.000
0.250 0.250 0.250
0.750 0.750 0.750
0.500 0.500 0.500

Sc4In5Hg2, optimized geometry, DFT PBE-GGA; space-group type = P2/m, No. 10
1.0
7.769 0.000 0.000
0.000 3.290 0.000
-0.939 0.000 9.858
Sc In Hg
4 5 2
Direct
0.177 0.000 0.386
0.267 0.000 0.939
0.733 0.000 0.061
0.823 0.000 0.614
0.176 0.500 0.655
0.453 0.500 0.188
0.500 0.500 0.500
0.547 0.500 0.812
0.824 0.500 0.345
0.072 0.500 0.139
0.928 0.500 0.861

Sc2InHg, optimized geometry, DFT PBE-GGA; space-group type = P4/mmm, No. 123
1.0
3.545 0.000 0.000
0.000 3.545 0.000
0.000 0.000 7.074
Sc In Hg
2 1 1
Direct
0.000 0.000 0.243
0.000 0.000 0.757
0.500 0.500 0.500
0.500 0.500 0.000

Q: Which ΔE_f values were calculated for the entries above? A: -137.6, -266.7, -232.8, -24.3, -343.2, -427.4, in meV/atom.